1.
The following is a DFT calculation (PBE) of a relaxed structure of Si3W.

Cell lengths 5.9638, 5.9638, 4.3970 Å; angles 90.00, 90.00, 130.88 degrees
Last column: nearest neighbours and their distance in Å.
Sites, in units of the cell vectors:
W 0.6096 0.3904 0.2500  8 Si 2.56-2.69
W 0.3904 0.6096 0.7500  8 Si 2.56-2.69
Si 0.6726 0.8585 0.2500  2 Si 2.32-2.55, 3 W 2.56-2.57
Si 0.1415 0.3274 0.2500  2 Si 2.32-2.55, 3 W 2.56-2.57
Si 0.8585 0.6726 0.7500  2 Si 2.32-2.55, 3 W 2.56-2.57
Si 0.7943 0.2057 0.7500  6 Si 2.55-2.77, 2 W 2.69
Si 0.2057 0.7943 0.2500  6 Si 2.55-2.77, 2 W 2.69
Si 0.3274 0.1415 0.7500  2 Si 2.32-2.55, 3 W 2.56-2.57

Calculated values
- V: 14.78 Å³/atom
- Theoretical density: 7.53 g cm⁻³
- Formation energy (no corrections): 179 meV per atom
- Excess energy over the best structure of this formula in the dataset: 17.8 kJ/mol of atoms
- Final energy: -57.01 eV/cell


2.
The following is a DFT calculation (PBE) of a relaxed structure of RbMgSbTe3.

Cell lengths 4.5457, 10.1117, 10.8317 Å; angles 108.45, 90.00, 90.00 degrees
Last column: nearest neighbours and their distance in Å.
Sites, in units of the cell vectors:
Te 0.7500 0.8751 0.1217  1 Mg 2.80, 2 Sb 3.11
Te 0.2500 0.1249 0.8783  1 Mg 2.80, 2 Sb 3.11
Te 0.7500 0.4612 0.1529  3 Sb 2.89-3.15
Te 0.7500 0.2052 0.5300  3 Mg 2.83-2.87
Te 0.2500 0.7948 0.4700  3 Mg 2.83-2.87
Te 0.2500 0.5388 0.8471  3 Sb 2.89-3.15
Mg 0.2500 0.0881 0.6107  4 Te 2.80-2.87
Mg 0.7500 0.9119 0.3893  4 Te 2.80-2.87
Sb 0.7500 0.3335 0.8739  5 Te 2.89-3.15
Sb 0.2500 0.6665 0.1261  5 Te 2.89-3.15
Rb 0.7500 0.7955 0.7585  7 Te 3.76-3.90
Rb 0.2500 0.2045 0.2415  7 Te 3.76-3.90

Calculated values
- V: 39.36 Å³/atom
- Theoretical density: 4.32 g cm⁻³
- Formation energy (no corrections): -655 meV per atom
- Final energy: -40.08 eV/cell


3.
The following is a DFT calculation (PBE) of a relaxed structure of MgSb3Br.

Cell lengths 5.5100, 5.5100, 5.5100 Å; angles 90.00, 90.00, 90.00 degrees
Last column: nearest neighbours and their distance in Å.
Sites, in units of the cell vectors:
Br 0.0000 0.0000 0.0000  6 Sb 2.76
Mg 0.5000 0.5000 0.5000  12 Sb 3.90
Sb 0.5000 0.0000 0.0000  2 Br 2.76
Sb 0.0000 0.5000 0.0000  2 Br 2.76
Sb 0.0000 0.0000 0.5000  2 Br 2.76

Calculated values
- V: 33.46 Å³/atom
- Theoretical density: 4.66 g cm⁻³
- Formation energy (no corrections): 822 meV per atom
- Excess energy over the best structure of this formula in the dataset: 31.9 kJ/mol of atoms
- Final energy: -11.53 eV/cell